# 1
# RbMgPaTe4

Crystalline RbMgPaTe4 at its relaxed geometry (GGA-PBE, Alexandria via LeMat-Bulk).

Total DFT energy (no corrections) (eV/atom): -4.3589
ΔE_f (raw) (eV/atom): -0.841
Theoretical density (g/cm³): 5.2

abc: 7.4202 7.6726 9.5452
angles: 90.00 94.33 90.00
With the nearest neighbours (Å) after each atom.
Space group P2_1/m (No. 11)
Asymmetric unit:
1 Rb 0.2162 0.2500 0.0475 (multiplicity 2)  6 Te 3.58-3.98, 1 Mg 3.97
2 Mg 0.3446 0.2500 0.6515 (multiplicity 2)  4 Te 2.73-2.83
3 Pa 0.1847 0.7500 0.4495 (multiplicity 2)  6 Te 2.97-3.13
4 Te 0.0853 0.5102 0.6976 (multiplicity 4)  1 Mg 2.83, 2 Pa 3.09-3.13
5 Te 0.3458 0.7500 0.1697 (multiplicity 2)  1 Mg 2.76, 1 Pa 3.01
6 Te 0.4594 0.2500 0.3866 (multiplicity 2)  1 Mg 2.73, 1 Pa 2.97


# 2
# MgPaRe

Crystalline MgPaRe at its relaxed geometry (GGA-PBE, Alexandria via LeMat-Bulk).

Total DFT energy (no corrections) (eV/atom): -7.7324
DOS at the Fermi energy (states/eV/cell): 8.60
E_form (kJ/mol of atoms): 10.98
Theoretical density (g/cm³): 11.1

abc: 5.2748 7.5019 6.6680
angles: 90.00 90.42 90.00
With the nearest neighbours (Å) after each atom.
Space group P2_1/c (No. 14)
Asymmetric unit:
1 Mg 0.1588 0.1173 0.1912 (multiplicity 4)  4 Re 2.82-2.96
2 Pa 0.3385 0.7030 0.0117 (multiplicity 4)  2 Re 2.53-2.80
3 Re 0.3453 0.0219 0.7941 (multiplicity 4)  2 Pa 2.53-2.80, 1 Mg 2.82


# 3
# MgScPaRe

Crystalline MgScPaRe at its relaxed geometry (GGA-PBE, Alexandria via LeMat-Bulk).

Total DFT energy (no corrections) (eV/atom): -7.3837
DOS at the Fermi energy (states/eV/cell): 22.97
E_form (kJ/mol of atoms): 8.09
Theoretical density (g/cm³): 9.8

abc: 6.9175 6.9175 6.9175
angles: 90.00 90.00 90.00
With the nearest neighbours (Å) after each atom.
Space group F-43m (No. 216)
Asymmetric unit:
1 Mg 0.0000 0.0000 0.0000 (multiplicity 4)  4 Pa 3.00, 4 Sc 3.00
2 Sc 0.2500 0.2500 0.2500 (multiplicity 4)  4 Re 3.00, 4 Mg 3.00
3 Pa 0.2500 0.2500 0.7500 (multiplicity 4)  4 Re 3.00, 4 Mg 3.00
4 Re 0.0000 0.0000 0.5000 (multiplicity 4)  4 Pa 3.00, 4 Sc 3.00


# 4
# MgPaReTc

Crystalline MgPaReTc at its relaxed geometry (GGA-PBE, Alexandria via LeMat-Bulk).

Total DFT energy (no corrections) (eV/atom): -8.4094
DOS at the Fermi energy (states/eV/cell): 23.19
E_form (kJ/mol of atoms): 6.44
Theoretical density (g/cm³): 12.5

abc: 6.5941 6.5941 6.5941
angles: 90.00 90.00 90.00
With the nearest neighbours (Å) after each atom.
Space group F-43m (No. 216)
Asymmetric unit:
1 Mg 0.0000 0.0000 0.0000 (multiplicity 4)  4 Tc 2.86, 4 Re 2.86
2 Pa 0.0000 0.0000 0.5000 (multiplicity 4)  4 Re 2.86, 4 Tc 2.86
3 Re 0.2500 0.2500 0.7500 (multiplicity 4)  4 Mg 2.86, 4 Pa 2.86
4 Tc 0.2500 0.2500 0.2500 (multiplicity 4)  4 Pa 2.86, 4 Mg 2.86


# 5
# Mg5PaRh6

Crystalline Mg5PaRh6 at its relaxed geometry (GGA-PBE, Alexandria via LeMat-Bulk).

Total DFT energy (no corrections) (eV/atom): -5.8296
DOS at the Fermi energy (states/eV/cell): 7.44
E_form (kJ/mol of atoms): -67.36
Theoretical density (g/cm³): 8.3

abc: 4.5327 13.3524 6.3943
angles: 90.00 90.00 90.00
With the nearest neighbours (Å) after each atom.
Space group Cmmm (No. 65)
Asymmetric unit:
1 Mg 0.0000 0.0000 0.0000 (multiplicity 2)  8 Rh 2.70-2.77
2 Mg 0.0000 0.3256 0.5000 (multiplicity 4)  8 Rh 2.69-2.83
3 Mg 0.0000 0.3315 0.0000 (multiplicity 4)  8 Rh 2.75-2.78
4 Pa 0.0000 0.0000 0.5000 (multiplicity 2)  8 Rh 2.68-2.78
5 Rh 0.0000 0.1624 0.2527 (multiplicity 8)  1 Pa 2.68, 7 Mg 2.69-2.78
6 Rh 0.0000 0.5000 0.2481 (multiplicity 4)  6 Mg 2.75-2.83, 2 Pa 2.78


# 6
# MgPaRh3

Crystalline MgPaRh3 at its relaxed geometry (GGA-PBE, Alexandria via LeMat-Bulk).

Total DFT energy (no corrections) (eV/atom): -6.9295
Distance to the lowest polymorph of the same formula (meV per atom): 325
DOS at the Fermi energy (states/eV/cell): 10.17
E_form (kJ/mol of atoms): -29.00
Theoretical density (g/cm³): 9.6

abc: 6.4695 14.4385 4.1682
angles: 90.00 90.00 90.00
With the nearest neighbours (Å) after each atom.
Space group Cmmm (No. 65)
Asymmetric unit:
1 Mg 0.0000 0.1034 0.0000 (multiplicity 4)  6 Rh 2.49-2.66
2 Pa 0.0000 0.3702 0.5000 (multiplicity 4)  1 Rh 2.39
3 Rh 0.0000 0.2046 0.5000 (multiplicity 4)  1 Pa 2.39, 2 Mg 2.55
4 Rh 0.1923 0.5000 0.0000 (multiplicity 4)  2 Mg 2.49, 1 Rh 2.49
5 Rh 0.2500 0.2500 0.0000 (multiplicity 4)  2 Mg 2.66, 4 Rh 2.72


Look up the total DFT energy (no corrections) of the second one. -7.7324 eV/atom


Which value of theoretical density does entry 4 give? 12.5 g/cm³


The highest total DFT energy (no corrections) belongs to which entry? RbMgPaTe4